# 1
Here is an optimized crystal structure of LiZr2Rh from Alexandria via LeMat-Bulk. Energies are from PBEsol.

Summary:
Total DFT energy (no corrections) in eV/cell: -29.5
SG: P4/mmm (123)
Crystal system: tetragonal
Formation energy in eV/atom: -0.30
Calculated volume in Å³/f.u.: 69.10

Lattice parameters (Å, degrees): 4.559 4.559 3.324 90.00 90.00 90.00
Positions (direct):
1 Li 0.000 0.000 0.000
2 Zr 0.000 0.500 0.500
3 Zr 0.500 0.000 0.500
4 Rh 0.500 0.500 0.000

---

# 2
Here is an optimized crystal structure of PBr2N from Alexandria via LeMat-Bulk. Energies are from PBEsol.

Summary:
Total DFT energy (no corrections) in eV/cell: -12.4
SG: R-3m (166)
Crystal system: trigonal
Offset from the most stable computed form in eV per atom: 1.771
Formation energy from raw total energies in eV per atom: 1.419
Calculated volume in Å³/f.u.: 79.99

Lattice parameters (Å, degrees): 7.926 7.926 7.926 25.29 25.29 25.29
Positions (direct):
1 P 0.000 0.000 0.000
2 Br 0.415 0.415 0.415
3 Br 0.585 0.585 0.585
4 N 0.500 0.500 0.500

---

# 3
Here is an optimized crystal structure of Sr2LiCa from Alexandria via LeMat-Bulk. Energies are from PBEsol.

Summary:
Total DFT energy (no corrections) in eV/cell: -7.5
SG: Pm (6)
Crystal system: monoclinic
Offset from the most stable computed form in eV per atom: 0.052
Formation energy in eV/atom: 0.07
Calculated volume in Å³/f.u.: 171.83

Lattice parameters (Å, degrees): 4.010 5.891 7.545 90.00 105.40 90.00
Positions (direct):
1 Sr 0.000 0.000 0.000
2 Sr 0.347 0.500 0.688
3 Li 0.749 0.000 0.475
4 Ca 0.609 0.500 0.223

---

Question: Which formula does entry 3 have?
Answer: Sr2LiCa

---

Question: Which of these has the lowest calculated volume?
Answer: LiZr2Rh

---

Question: Which of these has the lowest calculated volume?
Answer: LiZr2Rh

---

Question: What is the calculated volume in the second record?
Answer: 79.99 Å³/f.u.